Material: Zr2BeIn
Method: DFT, PBE
State: relaxed

polymorph energy (0 for the lowest one)	77	kJ/mol of formula units
VASP energy	-23.48	eV for the cell shown
energy of formation from the pure elements	0.08	eV per formula unit
space group	P4mm (99)

Unit cell a=3.1212 b=3.1212 c=8.0021 alpha=90.00 beta=90.00 gamma=90.08
Fractional coordinates of all 4 atoms:
Be (0.0000, 0.0000, 0.5070)
Zr (0.5000, 0.5000, 0.2922)
In (0.5000, 0.5000, 0.7053)
Zr (0.0000, 0.0000, 0.9955)



Material: Zr2BeIn
Method: DFT, PBE
State: relaxed

polymorph energy (0 for the lowest one)	30	kJ/mol of formula units
VASP energy	-23.97	eV for the cell shown
energy of formation from the pure elements	-0.41	eV per formula unit
space group	Pm (6)

Unit cell a=4.0973 b=3.4184 c=5.9240 alpha=73.22 beta=90.00 gamma=90.00
Fractional coordinates of all 4 atoms:
Zr (0.5000, 0.2880, 0.2992)
Zr (0.0000, 0.9460, 0.9842)
In (0.5000, 0.5658, 0.7446)
Be (0.0000, 0.7002, 0.4721)